Crystalline CsKSi at its relaxed geometry, computed with PBE-GGA.

Cell and atoms, written as POSCAR:
```
CsKSi
1.0
-4.4139 3.2771 -5.8976
-2.2246 -4.6814 -0.9363
-3.4026 2.6714 9.5419
K Si Cs
2 2 2
Cartesian
-3.6628 2.0650 -1.6222
-6.3783 -0.7980 4.3303
-3.9177 -0.2578 -4.2166
-2.7208 -1.1465 -2.6173
-2.7811 -1.8518 1.0525
-7.2599 3.1188 1.6555
```

Output
DOS(E_F), states/eV per atom: 0.86
Energy above the most stable polymorph in this dataset, eV per formula unit: 0.082
E_tot, eV per cell: -13.84
Formation energy (no corrections), eV per atom: 0.1519

=====

Crystalline K2Sn2Br7 at its relaxed geometry, computed with PBE-GGA.

Cell and atoms, written as POSCAR:
```
K2Sn2Br7
1.0
8.2004 0.1950 1.6440
0.2732 8.2436 -0.2496
1.1297 -0.2036 8.2867
Br Sn K
7 2 2
Cartesian
1.2784 2.5148 5.2378
8.3250 5.7203 4.4434
5.0477 1.7941 4.6075
4.5557 6.4410 5.0737
5.4190 5.7230 1.3504
0.0000 0.0000 0.0000
4.1844 2.5121 8.3308
6.5654 7.3234 3.1863
3.0380 0.9117 6.4949
6.4892 4.1160 6.6368
3.1141 4.1191 3.0444
```

Output
DOS(E_F), states/eV per atom: 0.58
E_tot, eV per cell: -33.38
Formation energy (no corrections), eV per atom: -1.0426

=====

Crystalline Nd6CoPd2Br3 at its relaxed geometry, computed with PBE-GGA.

Cell and atoms, written as POSCAR:
```
Nd6CoPd2Br3
1.0
7.2202 -0.0062 0.0011
-3.6137 6.2508 0.0011
-1.2017 -2.0808 7.7502
Nd Pd Br Co
6 2 3 1
Cartesian
2.2617 -0.0024 1.5193
-0.0704 -0.1219 6.2319
3.5372 2.2061 6.2332
0.1431 4.1663 6.2332
-1.1324 1.9578 1.5193
2.4752 4.2858 1.5205
3.6118 2.0778 0.0011
-0.0053 4.1668 0.0011
-2.4476 4.1900 3.8762
1.2024 2.0819 3.8762
4.8524 -0.0261 3.8762
0.0000 0.0000 0.0000
```

Output
DOS(E_F), states/eV per atom: 0.69
E_tot, eV per cell: -62.22
Formation energy (no corrections), eV per atom: -0.9256

=====

Crystalline CsSr2Tl at its relaxed geometry, computed with PBE-GGA.

Cell and atoms, written as POSCAR:
```
CsSr2Tl
1.0
-4.0453 -1.0143 4.5897
-1.4173 4.5663 3.9495
-5.6161 2.6240 -0.1804
Tl Sr Cs
1 2 1
Cartesian
-5.5393 3.0880 4.1794
-8.3090 4.6320 6.2691
-2.7697 1.5440 2.0897
0.0000 0.0000 0.0000
```

Output
Calculated formation energy, kcal/mol of atoms: -0.51
DOS(E_F), states/eV per atom: 0.02
Energy above the most stable polymorph in this dataset, eV per formula unit: 0.421
E_tot, eV per cell: -6.67

=====

Crystalline LaGe2W at its relaxed geometry, computed with PBE-GGA.

Cell and atoms, written as POSCAR:
```
LaGe2W
1.0
0.0000 3.4140 3.4140
3.4140 0.0000 3.4140
3.4140 3.4140 0.0000
Ge W La
2 1 1
Cartesian
1.7070 1.7070 1.7070
5.1211 5.1211 5.1211
3.4140 3.4140 3.4140
0.0000 0.0000 0.0000
```

Output
Calculated formation energy, kcal/mol of atoms: 2.42
DOS(E_F), states/eV per atom: 0.93
Energy above the most stable polymorph in this dataset, eV per formula unit: 0.000
E_tot, eV per cell: -26.70

=====

Crystalline BaInGa2Rh at its relaxed geometry, computed with PBE-GGA.

Cell and atoms, written as POSCAR:
```
BaInGa2Rh
1.0
-0.3333 4.5495 -1.8126
-0.2320 -1.8294 -4.5491
-5.1681 -0.2359 0.3584
Ba Rh In Ga
1 1 1 2
Cartesian
-2.8667 1.2421 -3.0016
0.0000 0.0000 0.0000
-2.5840 -0.1179 0.1792
-0.1667 2.2747 -0.9063
-0.1160 -0.9147 -2.2745
```

Output
Calculated formation energy, kcal/mol of atoms: -10.56
DOS(E_F), states/eV per atom: 0.35
E_tot, eV per cell: -20.36